# 1
# La2TlZnH

La2TlZnH after structural relaxation (GGA-PBE, the Alexandria database). Values from VASP.

Properties
V (Å³/f.u.): 115
Energy above the most stable polymorph in this dataset (kJ per mole of atoms): 0.0
Density of states at the Fermi level (states/eV/atom): 0.607
Space group: No. 123

Cell and atoms, written as Quantum ESPRESSO input:
```
&SYSTEM
  ibrav = 0, nat = 5, ntyp = 4
/
ATOMIC_SPECIES
H 1.01 H.upf
Tl 204.38 Tl.upf
Zn 65.41 Zn.upf
La 138.91 La.upf
ATOMIC_POSITIONS crystal
H 0.000 0.000 0.000
Tl 0.500 0.500 0.500
Zn 0.000 0.000 0.500
La 0.000 0.500 0.000
La 0.500 0.000 0.000
CELL_PARAMETERS angstrom
5.078 0.000 0.000
0.000 5.078 0.000
0.000 0.000 4.477
```

# 2
# La5Tm3H12

La5Tm3H12 after structural relaxation (GGA-PBE, the Alexandria database). Values from VASP.

Properties
V (Å³/f.u.): 309
Density of states at the Fermi level (states/eV/atom): 0.569
Space group: No. 230
DFT total energy (eV/atom): -4.3216

Cell and atoms, written as Quantum ESPRESSO input:
```
&SYSTEM
  ibrav = 0, nat = 80, ntyp = 3
/
ATOMIC_SPECIES
Tm 168.93 Tm.upf
La 138.91 La.upf
H 1.01 H.upf
ATOMIC_POSITIONS crystal
Tm 0.750 0.375 0.125
Tm 0.875 0.750 0.125
Tm 0.375 0.750 0.625
Tm 0.250 0.125 0.375
Tm 0.875 0.125 0.250
Tm 0.375 0.625 0.250
Tm 0.625 0.375 0.750
Tm 0.125 0.875 0.750
Tm 0.750 0.875 0.625
Tm 0.625 0.250 0.375
Tm 0.125 0.250 0.875
Tm 0.250 0.625 0.875
La 0.125 0.375 0.250
La 0.000 0.500 0.000
La 0.000 0.000 0.000
La 0.375 0.250 0.125
La 0.500 0.000 0.500
La 0.500 0.500 0.000
La 0.125 0.750 0.375
La 0.750 0.125 0.875
La 0.750 0.625 0.375
La 0.375 0.125 0.750
La 0.625 0.875 0.250
La 0.500 0.500 0.500
La 0.500 0.000 0.000
La 0.000 0.000 0.500
La 0.250 0.375 0.625
La 0.250 0.875 0.125
La 0.000 0.500 0.500
La 0.875 0.250 0.625
La 0.625 0.750 0.875
La 0.875 0.625 0.750
H 0.732 0.165 0.077
H 0.346 0.577 0.412
H 0.923 0.335 0.268
H 0.577 0.232 0.165
H 0.567 0.732 0.654
H 0.923 0.588 0.154
H 0.346 0.768 0.433
H 0.088 0.933 0.165
H 0.588 0.923 0.654
H 0.732 0.567 0.154
H 0.768 0.423 0.335
H 0.846 0.912 0.077
H 0.165 0.732 0.577
H 0.335 0.412 0.067
H 0.067 0.912 0.335
H 0.433 0.165 0.588
H 0.067 0.154 0.232
H 0.423 0.654 0.088
H 0.846 0.933 0.268
H 0.165 0.433 0.088
H 0.335 0.923 0.768
H 0.588 0.665 0.433
H 0.912 0.846 0.577
H 0.768 0.346 0.933
H 0.412 0.335 0.567
H 0.088 0.154 0.423
H 0.232 0.654 0.067
H 0.154 0.067 0.732
H 0.665 0.077 0.232
H 0.835 0.567 0.912
H 0.577 0.346 0.912
H 0.567 0.835 0.412
H 0.933 0.846 0.768
H 0.933 0.088 0.665
H 0.835 0.268 0.423
H 0.154 0.088 0.923
H 0.665 0.588 0.933
H 0.412 0.077 0.346
H 0.268 0.433 0.846
H 0.232 0.577 0.665
H 0.912 0.067 0.835
H 0.654 0.232 0.567
H 0.423 0.768 0.835
H 0.077 0.412 0.846
H 0.433 0.268 0.346
H 0.077 0.665 0.732
H 0.654 0.423 0.588
H 0.268 0.835 0.923
CELL_PARAMETERS angstrom
-3.342 11.064 1.856
-5.369 -4.151 -9.538
-2.882 -6.552 9.263
```

# 3
# LaTmH

LaTmH after structural relaxation (GGA-PBE, the Alexandria database). Values from VASP.

Properties
V (Å³/f.u.): 74
Energy above the most stable polymorph in this dataset (kJ per mole of atoms): 9.3
Density of states at the Fermi level (states/eV/atom): 0.967
Space group: No. 107

Cell and atoms, written as Quantum ESPRESSO input:
```
&SYSTEM
  ibrav = 0, nat = 3, ntyp = 3
/
ATOMIC_SPECIES
H 1.01 H.upf
Tm 168.93 Tm.upf
La 138.91 La.upf
ATOMIC_POSITIONS crystal
H 0.216 0.216 0.432
Tm 0.037 0.037 0.073
La 0.748 0.748 0.495
CELL_PARAMETERS angstrom
-0.346 -3.296 1.012
2.913 -0.824 -1.687
1.980 3.266 5.386
```

# 4
# LaTm2H8

LaTm2H8 after structural relaxation (GGA-PBE, the Alexandria database). Values from VASP.

Properties
V (Å³/f.u.): 107
Density of states at the Fermi level (states/eV/atom): 0.123
Space group: No. 71
DFT total energy (eV/atom): -4.3081

Cell and atoms, written as Quantum ESPRESSO input:
```
&SYSTEM
  ibrav = 0, nat = 11, ntyp = 3
/
ATOMIC_SPECIES
La 138.91 La.upf
Tm 168.93 Tm.upf
H 1.01 H.upf
ATOMIC_POSITIONS crystal
La 0.500 0.000 0.000
Tm 0.171 0.671 0.342
Tm 0.829 0.329 0.658
H 0.669 0.898 0.338
H 0.331 0.560 0.662
H 0.157 0.157 0.314
H 0.000 0.295 0.000
H 0.843 0.843 0.686
H 0.669 0.440 0.338
H 0.331 0.102 0.662
H 0.000 0.705 0.000
CELL_PARAMETERS angstrom
3.498 0.000 -1.065
-0.787 4.553 -2.586
0.023 0.534 6.355
```

# 5
# LaTmH4

LaTmH4 after structural relaxation (GGA-PBE, the Alexandria database). Values from VASP.

Properties
V (Å³/f.u.): 76
Density of states at the Fermi level (states/eV/atom): 0.274
Space group: No. 123
DFT total energy (eV/atom): -4.4695

Cell and atoms, written as Quantum ESPRESSO input:
```
&SYSTEM
  ibrav = 0, nat = 6, ntyp = 3
/
ATOMIC_SPECIES
La 138.91 La.upf
Tm 168.93 Tm.upf
H 1.01 H.upf
ATOMIC_POSITIONS crystal
La 0.501 0.497 0.998
Tm 0.001 0.997 0.498
H 0.501 0.997 0.277
H 0.501 0.997 0.719
H 0.001 0.497 0.719
H 0.001 0.497 0.277
CELL_PARAMETERS angstrom
3.741 0.000 0.002
0.000 3.741 0.002
-0.002 -0.003 5.457
```

# 6
# LaTm2H

LaTm2H after structural relaxation (GGA-PBE, the Alexandria database). Values from VASP.

Properties
V (Å³/f.u.): 98
Density of states at the Fermi level (states/eV/atom): 1.225
Space group: No. 166
DFT total energy (eV/atom): -4.3602

Cell and atoms, written as Quantum ESPRESSO input:
```
&SYSTEM
  ibrav = 0, nat = 4, ntyp = 3
/
ATOMIC_SPECIES
H 1.01 H.upf
Tm 168.93 Tm.upf
La 138.91 La.upf
ATOMIC_POSITIONS crystal
H 0.500 0.500 0.500
Tm 0.121 0.121 0.638
Tm 0.879 0.879 0.362
La 0.000 0.000 0.000
CELL_PARAMETERS angstrom
-0.781 3.361 -0.062
-1.517 1.368 -2.782
-9.308 -0.341 2.767
```

# 7
# LaTm3H8

LaTm3H8 after structural relaxation (GGA-PBE, the Alexandria database). Values from VASP.

Properties
V (Å³/f.u.): 141
Density of states at the Fermi level (states/eV/atom): 0.176
Space group: No. 221
DFT total energy (eV/atom): -4.4495

Cell and atoms, written as Quantum ESPRESSO input:
```
&SYSTEM
  ibrav = 0, nat = 12, ntyp = 3
/
ATOMIC_SPECIES
La 138.91 La.upf
Tm 168.93 Tm.upf
H 1.01 H.upf
ATOMIC_POSITIONS crystal
La 0.000 0.000 0.000
Tm 0.500 0.500 0.000
Tm 0.500 0.000 0.500
Tm 0.000 0.500 0.500
H 0.264 0.264 0.736
H 0.264 0.736 0.264
H 0.736 0.264 0.264
H 0.736 0.736 0.736
H 0.736 0.736 0.264
H 0.736 0.264 0.736
H 0.264 0.736 0.736
H 0.264 0.264 0.264
CELL_PARAMETERS angstrom
-4.571 -0.467 -2.451
-2.429 -0.335 4.594
-0.569 5.176 0.076
```

# 8
# LaTmH

LaTmH after structural relaxation (GGA-PBE, the Alexandria database). Values from VASP.

Properties
V (Å³/f.u.): 67
Energy above the most stable polymorph in this dataset (kJ per mole of atoms): 0.0
Density of states at the Fermi level (states/eV/atom): 1.016
Space group: No. 156

Cell and atoms, written as Quantum ESPRESSO input:
```
&SYSTEM
  ibrav = 0, nat = 3, ntyp = 3
/
ATOMIC_SPECIES
H 1.01 H.upf
Tm 168.93 Tm.upf
La 138.91 La.upf
ATOMIC_POSITIONS crystal
H 0.667 0.333 0.353
Tm 0.333 0.667 0.565
La 0.000 0.000 0.081
CELL_PARAMETERS angstrom
-0.108 -3.203 1.736
-0.273 0.114 -3.633
5.831 -0.442 -0.452
```